Record 1
TmTePO after structural relaxation. Source: OQMD via LeMat-Bulk, functional PBE-GGA.

Calculated values
E above lowest polymorph (meV per atom): 489
Size of the total moment (μB/f.u.): 0.0
Raw total energy (eV/atom): -5.308

a = 5.557 Å, b = 5.557 Å, c = 5.051 Å
α = 90.00°, β = 90.00°, γ = 90.00°
Fractional positions:
Tm 0.250 0.750 0.000
Tm 0.750 0.250 0.000
Te 0.250 0.250 0.500
Te 0.750 0.750 0.500
P 0.250 0.250 0.001
P 0.750 0.750 0.999
O 0.250 0.750 0.500
O 0.750 0.250 0.500

***

Record 2
TmTePO after structural relaxation. Source: OQMD via LeMat-Bulk, functional PBE-GGA.

Calculated values
E above lowest polymorph (meV per atom): 0
Size of the total moment (μB/f.u.): 0.0
Raw total energy (eV/atom): -5.797

a = 3.637 Å, b = 7.313 Å, c = 7.803 Å
α = 90.00°, β = 90.00°, γ = 90.00°
Fractional positions:
Tm 0.000 0.238 0.000
Tm 0.000 0.762 0.500
Te 0.500 0.352 0.527
Te 0.500 0.648 0.027
P 0.000 0.443 0.308
P 0.000 0.557 0.808
O 0.500 0.122 0.950
O 0.500 0.878 0.450

***

Record 3
TmTePO after structural relaxation. Source: OQMD via LeMat-Bulk, functional PBE-GGA.

Calculated values
E above lowest polymorph (meV per atom): 104
Size of the total moment (μB/f.u.): 0.0
Raw total energy (eV/atom): -5.693

a = 4.009 Å, b = 4.009 Å, c = 10.115 Å
α = 90.00°, β = 90.00°, γ = 90.00°
Fractional positions:
Tm 0.250 0.250 0.099
Tm 0.750 0.750 0.901
Te 0.250 0.750 0.500
Te 0.750 0.250 0.500
P 0.250 0.250 0.733
P 0.750 0.750 0.267
O 0.250 0.750 0.000
O 0.750 0.250 0.000